[1]
SrIn2Cl | GGA-PBE | optimized geometry

abc: 5.0124 5.0124 5.6738
angles: 90.00 90.00 90.00
Last column: nearest neighbours and their distance in Å.
Space group P4/mmm (No. 123)
Inequivalent atoms, fractional coordinates:
Sr 0.0000 0.0000 0.0000  2 Cl 2.84
In 0.5000 0.5000 0.2440  2 In 2.77-2.91
Cl 0.0000 0.0000 0.5000  2 Sr 2.84

E above lowest polymorph = 231.1 meV per atom
Calculated total energy = -2.840 eV per atom
Formation energy from raw total energies = -2.36 eV/f.u.

---

[2]
Np4ScGa12 | GGA-PBE | optimized geometry

abc: 8.7316 8.7316 8.7316
angles: 90.00 90.00 90.00
Last column: nearest neighbours and their distance in Å.
Space group Im-3m (No. 229)
Inequivalent atoms, fractional coordinates:
Np 0.2500 0.2500 0.2500  12 Ga 3.09-3.13
Sc 0.0000 0.0000 0.0000  6 Ga 2.67
Ga 0.0000 0.0000 0.3059  1 Sc 2.67, 4 Ga 2.76
Ga 0.0000 0.2500 0.5000  8 Ga 2.76-3.09, 4 Np 3.09

DFT formation energy = -0.203 eV per atom
Calculated total energy = -5.756 eV per atom

---

[3]
ScAl2W | GGA-PBE | optimized geometry

abc: 2.9361 2.9361 28.3348
angles: 90.00 90.00 120.00
Last column: nearest neighbours and their distance in Å.
Space group R3m (No. 160, hexagonal axes)
Inequivalent atoms, fractional coordinates:
Sc 0.0000 0.0000 0.0000  6 Sc 2.94, 3 W 3.00, 3 Al 3.03
Al 0.0000 0.0000 0.5029  3 W 2.76, 9 Al 2.85-2.94
Al 0.0000 0.0000 0.7554  9 Al 2.85-2.94, 3 Sc 3.03
W 0.0000 0.0000 0.2462  3 Al 2.76, 6 W 2.94, 3 Sc 3.00

DFT formation energy = 0.112 eV per atom
E above lowest polymorph = 315.6 meV per atom
Calculated total energy = -6.580 eV per atom

---

[4]
Ca2H6Pb | GGA-PBE | optimized geometry

abc: 7.7363 7.7363 7.7363
angles: 90.00 90.00 90.00
Last column: nearest neighbours and their distance in Å.
Space group Fm-3m (No. 225)
Inequivalent atoms, fractional coordinates:
Ca 0.2500 0.2500 0.2500  12 H 2.75
H 0.0000 0.0000 0.2150  1 Pb 2.21, 4 H 2.35
Pb 0.0000 0.0000 0.5000  6 H 2.21

Calculated total energy = -2.913 eV per atom

---

[5]
ZnSiPdRh2 | GGA-PBE | optimized geometry

abc: 4.5218 4.5218 4.4807
angles: 90.00 90.00 90.00
Last column: nearest neighbours and their distance in Å.
Space group P4/mmm (No. 123)
Inequivalent atoms, fractional coordinates:
Zn 0.0000 0.0000 0.0000  2 Pd 2.24, 4 Rh 2.26
Si 0.5000 0.5000 0.5000  8 Rh 3.18, 4 Pd 3.20
Pd 0.0000 0.0000 0.5000  2 Zn 2.24
Rh 0.0000 0.5000 0.0000  2 Zn 2.26

Calculated total energy = -4.446 eV per atom
Formation energy from raw total energies = 4.36 eV/f.u.

---

[6]
Tm2Al2Ru5W | GGA-PBE | optimized geometry

abc: 10.0873 10.0873 3.2391
angles: 90.00 90.00 90.00
Last column: nearest neighbours and their distance in Å.
Space group P4/mbm (No. 127)
Inequivalent atoms, fractional coordinates:
Tm 0.1714 0.3286 0.0000  3 Al 2.88-3.04, 10 Ru 2.93-3.18
Al 0.1268 0.6268 0.0000  6 Ru 2.43-2.48
Ru 0.0000 0.5000 0.5000  4 Al 2.43
Ru 0.0656 0.8031 0.5000  2 Al 2.48, 2 W 2.65
W 0.0000 0.0000 0.0000  8 Ru 2.65

DFT formation energy = -0.412 eV per atom
Calculated total energy = -7.988 eV per atom

---

[7]
Na4Zn5As6 | GGA-PBE | optimized geometry

abc: 4.1725 19.1432 16.0053
angles: 90.00 90.00 90.00
Last column: nearest neighbours and their distance in Å.
Space group Cmc2_1 (No. 36)
Inequivalent atoms, fractional coordinates:
Na 0.0000 0.0040 0.0000  5 As 3.03-3.07, 1 Zn 3.35
Na 0.0000 0.0221 0.7557  6 As 2.99-3.08, 5 Zn 3.02-3.08
Na 0.0000 0.1777 0.3018  6 As 3.04-3.17
Na 0.0000 0.1799 0.9399  6 As 3.00-3.19
Zn 0.0000 0.1379 0.6225  4 As 2.54-2.60, 1 Zn 2.84
Zn 0.0000 0.2861 0.6232  4 As 2.53-2.64
Zn 0.0000 0.3596 0.2525  4 As 2.52-2.66
Zn 0.0000 0.3628 0.9821  4 As 2.52-2.70
Zn 0.0000 0.4283 0.6774  4 As 2.55-2.75, 1 Zn 2.86
As 0.0000 0.1295 0.1172  4 Zn 2.55-2.64
As 0.0000 0.2110 0.4903  4 Zn 2.52-2.57
As 0.0000 0.2139 0.7553  4 Zn 2.52-2.58
As 0.0000 0.4370 0.3825  1 As 2.40, 1 Zn 2.55
As 0.0000 0.4411 0.8483  1 As 2.40, 1 Zn 2.61
As 0.0000 0.4435 0.1203  5 Zn 2.60-2.70

DFT formation energy = -0.305 eV per atom
Calculated total energy = -2.941 eV per atom

---

[8]
Te2IrN | GGA-PBE | optimized geometry

abc: 3.1646 3.1646 25.5229
angles: 90.00 90.00 120.00
Last column: nearest neighbours and their distance in Å.
Space group R-3m (No. 166, hexagonal axes)
Inequivalent atoms, fractional coordinates:
Te 0.0000 0.0000 0.1011  3 N 2.48, 1 Ir 2.58
Ir 0.0000 0.0000 0.0000  2 Te 2.58
N 0.0000 0.0000 0.5000  6 Te 2.48

Calculated total energy = -4.692 eV per atom
Formation energy from raw total energies = 4.70 eV/f.u.

---

[9]
Al2WAu | GGA-PBE | optimized geometry

abc: 2.9166 4.9781 8.9280
angles: 90.00 90.00 90.00
Last column: nearest neighbours and their distance in Å.
Space group Immm (No. 71)
Inequivalent atoms, fractional coordinates:
Al 0.0000 0.0000 0.2458  2 Au 2.64, 2 W 2.70, 6 Al 2.89-2.92
W 0.0000 0.5000 0.0000  4 Al 2.70, 4 Au 2.88, 2 W 2.92
Au 0.0000 0.5000 0.5000  4 Al 2.64, 4 W 2.88, 2 Au 2.92

DFT formation energy = 0.057 eV per atom
E above lowest polymorph = 184.4 meV per atom
Calculated total energy = -5.872 eV per atom

---

[10]
LiCaSn4 | GGA-PBE | optimized geometry

abc: 8.8428 8.8428 8.8428
angles: 90.00 90.00 90.00
Last column: nearest neighbours and their distance in Å.
Space group F-43m (No. 216)
Inequivalent atoms, fractional coordinates:
Li 0.0000 0.0000 0.0000  12 Sn 3.67, 4 Ca 3.83
Ca 0.2500 0.2500 0.2500  12 Sn 3.67, 4 Li 3.83
Sn 0.1252 0.1252 0.6252  6 Sn 3.12-3.13

DFT formation energy = -0.193 eV per atom
Calculated total energy = -3.514 eV per atom

---

[11]
Ca2Ga2Ru | GGA-PBE | optimized geometry

abc: 6.7509 6.7509 4.7920
angles: 90.00 90.00 90.00
Last column: nearest neighbours and their distance in Å.
Space group P4/mbm (No. 127)
Inequivalent atoms, fractional coordinates:
Ca 0.1807 0.3193 0.0000  6 Ga 2.95-3.24
Ga 0.1397 0.6397 0.5000  2 Ru 2.61, 1 Ga 2.67
Ru 0.0000 0.0000 0.5000  4 Ga 2.61

DFT formation energy = -0.214 eV per atom
E above lowest polymorph = 163.8 meV per atom
Calculated total energy = -4.081 eV per atom

---

[12]
SmSi4Pd8 | GGA-PBE | optimized geometry

abc: 8.7431 8.7431 5.2755
angles: 90.00 90.00 90.00
Last column: nearest neighbours and their distance in Å.
Space group I4/mmm (No. 139)
Inequivalent atoms, fractional coordinates:
Sm 0.0000 0.0000 0.0000  4 Pd 2.90
Si 0.2500 0.2500 0.2500  8 Pd 2.56-2.65, 2 Si 2.64
Pd 0.0000 0.2247 0.5000  4 Si 2.56, 6 Pd 2.78-2.82
Pd 0.0000 0.3316 0.0000  4 Si 2.65, 5 Pd 2.80-2.94, 1 Sm 2.90

Calculated total energy = -5.876 eV per atom
Formation energy from raw total energies = -8.44 eV/f.u.

---

[13]
LaTaIn2 | GGA-PBE | optimized geometry

abc: 3.2525 3.2525 32.5012
angles: 90.00 90.00 120.00
Last column: nearest neighbours and their distance in Å.
Space group R3m (No. 160, hexagonal axes)
Inequivalent atoms, fractional coordinates:
La 0.0000 0.0000 0.0000  6 La 3.25, 3 Ta 3.34, 3 In 3.57
Ta 0.0000 0.0000 0.7515  3 In 3.04, 6 Ta 3.25, 3 La 3.34
In 0.0000 0.0000 0.2399  9 In 3.25, 3 La 3.57
In 0.0000 0.0000 0.4917  3 Ta 3.04, 9 In 3.25

DFT formation energy = 0.280 eV per atom
Calculated total energy = -5.285 eV per atom

---

[14]
KNdTe2 | GGA-PBE | optimized geometry

abc: 3.9784 3.9784 8.5726
angles: 90.00 90.00 90.00
Last column: nearest neighbours and their distance in Å.
Space group P4/mmm (No. 123)
Inequivalent atoms, fractional coordinates:
K 0.0000 0.0000 0.0000  8 Te 3.73, 4 K 3.98
Nd 0.0000 0.0000 0.5000  8 Te 3.36
Te 0.5000 0.5000 0.2850  4 Nd 3.36, 1 Te 3.69, 4 K 3.73

Calculated total energy = -4.267 eV per atom
Formation energy from raw total energies = -4.92 eV/f.u.

---

[15]
PmEuYSc | GGA-PBE | optimized geometry

abc: 8.0134 8.0134 8.0134
angles: 90.00 90.00 90.00
Last column: nearest neighbours and their distance in Å.
Space group F-43m (No. 216)
Inequivalent atoms, fractional coordinates:
Pm 0.0000 0.0000 0.0000  4 Y 3.47, 4 Sc 3.47
Eu 0.0000 0.0000 0.5000  4 Sc 3.47, 4 Y 3.47
Y 0.2500 0.2500 0.7500  4 Pm 3.47, 4 Eu 3.47
Sc 0.2500 0.2500 0.2500  4 Pm 3.47, 4 Eu 3.47

DFT formation energy = 0.163 eV per atom
Calculated total energy = -6.792 eV per atom

---

[16]
KZn2In2 | GGA-PBE | optimized geometry

abc: 4.7214 4.7214 11.9599
angles: 90.00 90.00 90.00
Last column: nearest neighbours and their distance in Å.
Space group I4/mmm (No. 139)
Inequivalent atoms, fractional coordinates:
K 0.0000 0.0000 0.0000  8 In 3.66, 8 Zn 3.81
Zn 0.0000 0.5000 0.2500  4 In 2.79
In 0.0000 0.0000 0.3745  4 Zn 2.79, 1 In 3.00

DFT formation energy = -0.005 eV per atom
E above lowest polymorph = 40.3 meV per atom
Calculated total energy = -1.830 eV per atom

---

[17]
Ca2LaZn | GGA-PBE | optimized geometry

abc: 3.8263 5.6933 12.0301
angles: 90.00 90.00 90.00
Last column: nearest neighbours and their distance in Å.
Space group Immm (No. 71)
Inequivalent atoms, fractional coordinates:
Ca 0.0000 0.0000 0.2029  2 Zn 3.10
La 0.0000 0.5000 0.0000  4 Zn 3.43, 4 Ca 3.75, 2 La 3.83
Zn 0.0000 0.5000 0.5000  4 Ca 3.10, 4 La 3.43

DFT formation energy = -0.058 eV per atom
Calculated total energy = -2.609 eV per atom

---

[18]
YP2CO | GGA-PBE | optimized geometry

abc: 3.6251 3.6251 5.7193
angles: 90.00 90.00 90.00
Last column: nearest neighbours and their distance in Å.
Space group P4/mmm (No. 123)
Inequivalent atoms, fractional coordinates:
Y 0.0000 0.0000 0.0000  4 O 2.56
P 0.0000 0.5000 0.5000  2 C 1.81
C 0.5000 0.5000 0.5000  4 P 1.81
O 0.5000 0.5000 0.0000  4 Y 2.56, 2 C 2.86

E above lowest polymorph = 0.0 meV per atom
Calculated total energy = -6.351 eV per atom
Formation energy from raw total energies = -0.29 eV/f.u.

---

[19]
BeSb2MoI | GGA-PBE | optimized geometry

abc: 5.1615 5.1615 5.8930
angles: 90.00 90.00 90.00
Last column: nearest neighbours and their distance in Å.
Space group P4/mmm (No. 123)
Inequivalent atoms, fractional coordinates:
Be 0.0000 0.0000 0.0000  4 I 3.65, 8 Sb 3.92
Sb 0.0000 0.5000 0.5000  2 Mo 2.58
Mo 0.5000 0.5000 0.5000  4 Sb 2.58
I 0.5000 0.5000 0.0000  2 Mo 2.95

E above lowest polymorph = 0.0 meV per atom
Calculated total energy = -3.874 eV per atom
Formation energy from raw total energies = 4.98 eV/f.u.

---

[20]
SmDy5Y3 | GGA-PBE | optimized geometry

abc: 16.2632 6.7064 11.3895
angles: 90.00 108.60 90.00
Last column: nearest neighbours and their distance in Å.
Space group C2/c (No. 15)
Inequivalent atoms, fractional coordinates:
Sm 0.0000 0.2272 0.2500  1 Dy 3.03, 2 Y 3.23
Dy 0.0000 0.3203 0.7500  1 Sm 3.03, 2 Dy 3.07
Dy 0.1077 0.4956 0.5443  5 Dy 3.32-3.60, 4 Y 3.48-3.72, 1 Sm 3.71
Dy 0.1755 0.1196 0.8751  1 Dy 3.07, 2 Y 3.34-3.37
Y 0.0000 0.0000 0.0000  2 Sm 3.23, 2 Dy 3.57
Y 0.2381 0.3787 0.3542  7 Dy 3.34-3.59, 1 Y 3.65

DFT formation energy = 0.172 eV per atom
E above lowest polymorph = 0.0 meV per atom
Calculated total energy = -5.064 eV per atom